{
  "formula": "BeAlPb2",
  "functional": "PBE-GGA",
  "state": "optimized geometry",
  "sg": "Cm, No. 8",
  "delta_e_f_mev_per_atom": 314,
  "lattice": [[-4.0971, 0.5363, -0.1388], [-2.3221, -2.4372, -2.4002], [-2.9443, -4.9025, 4.1354]],
  "species": ["Pb", "Pb", "Be", "Al"],
  "frac_coords": [[0.9767, 0.9767, 0.0866], [0.7740, 0.7740, 0.6624], [0.2070, 0.2070, 0.3774], [0.5423, 0.5423, 0.3736]]
}



{
  "formula": "ScTa2Pb",
  "functional": "PBE-GGA",
  "state": "optimized geometry",
  "sg": "Immm, No. 71",
  "delta_e_f_mev_per_atom": 183,
  "lattice": [[5.6384, -0.0002, -0.0012], [2.5950, 5.0058, 0.0012], [-3.8943, -2.8686, 2.8978]],
  "species": ["Pb", "Sc", "Ta", "Ta"],
  "frac_coords": [[0.7500, 0.2500, 0.5000], [0.2500, 0.7500, 0.5000], [0.0003, 0.0003, 0.0000], [0.4997, 0.4997, 0.0000]]
}



{
  "formula": "LiAc2In6Pt",
  "functional": "PBE-GGA",
  "state": "optimized geometry",
  "sg": "C2/m, No. 12",
  "delta_e_f_mev_per_atom": -307,
  "lattice": [[-1.5625, -5.1404, 4.9593], [5.7117, -3.9455, -2.2956], [5.1052, -2.1791, 4.7597]],
  "species": ["Li", "Ac", "Ac", "In", "In", "In", "In", "In", "In", "Pt"],
  "frac_coords": [[0.5000, 0.5000, 0.0000], [0.2496, 0.7504, 0.5000], [0.7504, 0.2496, 0.5000], [0.2583, 0.7417, 0.0000], [0.7411, 0.7411, 0.0012], [0.2576, 0.2576, 0.4837], [0.7417, 0.2583, 0.0000], [0.2589, 0.2589, 0.9988], [0.7424, 0.7424, 0.5163], [0.0000, 0.0000, 0.0000]]
}



{
  "formula": "MgIn4Si",
  "functional": "PBE-GGA",
  "state": "optimized geometry",
  "sg": "F-43m, No. 216",
  "formation_energy_uncorrected_ev_per_atom": 0.378,
  "lattice": [[0.7930, 1.1652, 5.8845], [0.9557, 5.6788, 1.8578], [-4.2866, 2.9280, 3.1089]],
  "species": ["Mg", "In", "In", "In", "In", "Si"],
  "frac_coords": [[0.7500, 0.7500, 0.7500], [0.8762, 0.3746, 0.3746], [0.3746, 0.3746, 0.8762], [0.3746, 0.8762, 0.3746], [0.3746, 0.3746, 0.3746], [0.0000, 0.0000, 0.0000]]
}



{
  "formula": "Sr2WSe",
  "functional": "PBE-GGA",
  "state": "optimized geometry",
  "sg": "Cm, No. 8",
  "formation_energy_uncorrected_ev_per_atom": 0.157,
  "lattice": [[-5.8182, -1.7070, 1.1360], [-5.0379, -2.9693, -1.9645], [0.0433, -5.1991, 2.1276]],
  "species": ["Se", "Sr", "Sr", "W"],
  "frac_coords": [[0.2059, 0.2059, 0.2413], [0.9665, 0.9665, 0.0647], [0.7754, 0.7754, 0.7029], [0.5522, 0.5522, 0.4912]]
}



{
  "formula": "Dy8Tm2Al",
  "functional": "PBE-GGA",
  "state": "optimized geometry",
  "sg": "C2/m, No. 12",
  "delta_e_f_mev_per_atom": -40,
  "lattice": [[5.2392, 0.0000, -1.5040], [-0.1009, 6.3875, -0.3514], [0.0010, -0.0341, 9.8807]],
  "species": ["Dy", "Dy", "Dy", "Dy", "Dy", "Dy", "Dy", "Dy", "Tm", "Tm", "Al"],
  "frac_coords": [[0.4210, 0.3992, 0.8421], [0.6582, 0.1198, 0.3164], [0.8442, 0.1892, 0.6884], [0.9577, 0.7472, 0.9154], [0.1558, 0.8108, 0.3116], [0.3418, 0.8802, 0.6836], [0.5790, 0.6008, 0.1579], [0.0423, 0.2528, 0.0846], [0.7598, 0.6653, 0.5195], [0.2402, 0.3347, 0.4805], [0.5000, 0.0000, 0.0000]]
}